First-principles (PBE-GGA) data for a relaxed structure of BaPdSeO, as listed in OQMD via LeMat-Bulk.

SG: Cmc2_1
Energy above the lowest structure with this stoichiometry, eV per formula unit: 0.05

Unit cell a=6.355 b=6.355 c=6.404 alpha=90.00 beta=90.00 gamma=136.56
Fractional coordinates of all 8 atoms:
Ba 0.177 0.823 0.500
Ba 0.823 0.177 0.000
Pd 0.475 0.525 0.417
Pd 0.525 0.475 0.917
Se 0.100 0.900 0.992
Se 0.900 0.100 0.492
O 0.394 0.606 0.137
O 0.606 0.394 0.637